Crystalline Zn4Cu9Au2 at its relaxed geometry, computed with GGA-PBE.

Results
- Energy of formation from the pure elements: -0.88 eV/f.u.
- Electronic total energy: -3.29 eV/atom

```
data_Zn4Cu9Au2
_space_group_name_H-M_alt 'P -3 m 1'
_space_group_IT_number 164
_space_group_name_Hall '-P 3 2"'
_cell_length_a 4.2124
_cell_length_b 4.2124
_cell_length_c 13.1280
_cell_angle_alpha 90.00
_cell_angle_beta 90.00
_cell_angle_gamma 120.00
loop_
_atom_site_label
_atom_site_fract_x
_atom_site_fract_y
_atom_site_fract_z
Zn1 0.3333 0.6667 0.1555
Zn2 0.3333 0.6667 0.3716
Cu1 0.0000 0.0000 0.0958
Cu2 0.0000 0.0000 0.3106
Cu3 0.0000 0.0000 0.5000
Cu4 0.3333 0.6667 0.5615
Cu5 0.3333 0.6667 0.9682
Au1 0.3333 0.6667 0.7658
```